[1]
VASP calculation (PBE) on a geometry-optimized MnGeP structure.

Unit cell a=5.1006 b=5.1006 c=18.1843 alpha=90.00 beta=90.00 gamma=120.00
Space group R3 (No. 146, hexagonal axes)
Unique sites:
1 Mn 0.0000 0.0000 0.0000
2 Mn 0.0000 0.0000 0.1494
3 Mn 0.0000 0.0000 0.4822
4 Ge 0.0078 0.3375 0.9118
5 P 0.9996 0.7010 0.7416

N(E_F) (states/eV per atom): 0.42
Theoretical density (g/cm3): 5.78
VASP energy (Ha/atom): -0.23487



[2]
VASP calculation (PBE) on a geometry-optimized BaReAg structure.

Unit cell a=3.0499 b=3.0499 c=8.3159 alpha=90.00 beta=90.00 gamma=120.00
Space group P3m1 (No. 156)
Unique sites:
1 Ba 0.0000 0.0000 0.0000
2 Re 0.6667 0.3333 0.3458
3 Ag 0.3333 0.6667 0.6221

N(E_F) (states/eV per atom): 1.02
Theoretical density (g/cm3): 10.69
Distance to the lowest polymorph of the same formula (meV/atom): 224



[3]
VASP calculation (PBE) on a geometry-optimized TiPd7Au2 structure.

Unit cell a=7.341 b=13.760 c=4.049 alpha=90.00 beta=90.00 gamma=90.00
Space group Cmmm (No. 65)
Unique sites:
1 Ti 0.000 0.000 0.000
2 Pd 0.000 0.183 0.000
3 Pd 0.000 0.500 0.500
4 Pd 0.182 0.097 0.500
5 Au 0.000 0.305 0.500

N(E_F) (states/eV per atom): 1.22
Theoretical density (g/cm3): 9.64
VASP energy (Ha/atom): -0.17959



[4]
VASP calculation (PBE) on a geometry-optimized AcLuRhAu structure.

Unit cell a=7.297 b=7.297 c=7.297 alpha=90.00 beta=90.00 gamma=90.00
Space group F-43m (No. 216)
Unique sites:
1 Ac 0.000 0.000 0.000
2 Lu 0.000 0.000 0.500
3 Rh 0.250 0.250 0.750
4 Au 0.250 0.250 0.250

N(E_F) (states/eV per atom): 0.79
Theoretical density (g/cm3): 12.00
VASP energy (Ha/atom): -0.20135



[5]
VASP calculation (PBE) on a geometry-optimized ZnNiRh structure.

Unit cell a=2.792 b=4.483 c=12.681 alpha=90.00 beta=90.00 gamma=90.00
Space group Fmm2 (No. 42)
Unique sites:
1 Zn 0.000 0.000 0.000
2 Ni 0.000 0.000 0.340
3 Rh 0.000 0.000 0.672

N(E_F) (states/eV per atom): 1.51
Theoretical density (g/cm3): 9.50
Distance to the lowest polymorph of the same formula (meV/atom): 156



[6]
VASP calculation (PBE) on a geometry-optimized Rb2TiPdSe structure.

Unit cell a=6.506 b=6.506 c=4.892 alpha=90.00 beta=90.00 gamma=90.00
Space group P4/mmm (No. 123)
Unique sites:
1 Rb 0.000 0.500 0.000
2 Ti 0.000 0.000 0.500
3 Pd 0.500 0.500 0.500
4 Se 0.000 0.000 0.000

N(E_F) (states/eV per atom): 2.12
ΔE_f (raw) (eV per atom): 0.20
Theoretical density (g/cm3): 3.24



[7]
VASP calculation (PBE) on a geometry-optimized RbTiNb2Ir structure.

Unit cell a=4.742 b=4.742 c=4.485 alpha=90.00 beta=90.00 gamma=90.00
Space group P4/mmm (No. 123)
Unique sites:
1 Rb 0.000 0.000 0.000
2 Ti 0.000 0.000 0.500
3 Nb 0.000 0.500 0.000
4 Ir 0.500 0.500 0.500

N(E_F) (states/eV per atom): 1.50
Theoretical density (g/cm3): 8.42
Distance to the lowest polymorph of the same formula (meV/atom): 1648



[8]
VASP calculation (PBE) on a geometry-optimized ErMgAl3 structure.

Unit cell a=3.348 b=26.825 c=4.530 alpha=90.00 beta=90.00 gamma=90.00
Space group Cmcm (No. 63)
Unique sites:
1 Er 0.000 0.074 0.250
2 Mg 0.000 0.216 0.750
3 Al 0.000 0.323 0.750
4 Al 0.000 0.376 0.250
5 Al 0.000 0.475 0.250

N(E_F) (states/eV per atom): 0.36
Theoretical density (g/cm3): 4.45
VASP energy (Ha/atom): -0.13768



[9]
VASP calculation (PBE) on a geometry-optimized Tb3Pm5Nd4 structure.

Unit cell a=16.395 b=6.017 c=9.455 alpha=90.00 beta=116.38 gamma=90.00
Space group C2/m (No. 12)
Unique sites:
1 Tb 0.000 0.000 0.000
2 Tb 0.208 0.500 0.228
3 Pm 0.000 0.500 0.000
4 Pm 0.074 0.000 0.701
5 Pm 0.172 0.000 0.389
6 Nd 0.083 0.500 0.442
7 Nd 0.216 0.500 0.879

N(E_F) (states/eV per atom): 1.68
Theoretical density (g/cm3): 7.07
Distance to the lowest polymorph of the same formula (meV/atom): 195



[10]
VASP calculation (PBE) on a geometry-optimized NaPt2RhAu structure.

Unit cell a=4.985 b=4.985 c=4.812 alpha=90.00 beta=90.00 gamma=90.00
Space group P4/mmm (No. 123)
Unique sites:
1 Na 0.000 0.000 0.000
2 Pt 0.000 0.500 0.500
3 Rh 0.500 0.500 0.000
4 Au 0.000 0.000 0.500

N(E_F) (states/eV per atom): 1.55
Theoretical density (g/cm3): 9.90
VASP energy (Ha/atom): -0.13066



[11]
VASP calculation (PBE) on a geometry-optimized CaTcAu2 structure.

Unit cell a=6.488 b=7.494 c=3.093 alpha=90.00 beta=90.12 gamma=90.00
Space group C2/m (No. 12)
Unique sites:
1 Ca 0.000 0.000 0.000
2 Tc 0.000 0.500 0.000
3 Au 0.250 0.250 0.500

N(E_F) (states/eV per atom): 0.91
Theoretical density (g/cm3): 11.75
Distance to the lowest polymorph of the same formula (meV/atom): 7



Number 1: total magnetic moment 0.06 μB/atom. Number 2: total magnetic moment 0.00 μB/atom. Number 3: total magnetic moment 0.00 μB/atom. Number 4: total magnetic moment 0.00 μB/atom. Number 5: total magnetic moment 0.15 μB/atom. Number 6: total magnetic moment 0.44 μB/atom. Number 7: total magnetic moment 0.00 μB/atom. Number 8: total magnetic moment 0.00 μB/atom. Number 9: total magnetic moment 0.00 μB/atom. Number 10: total magnetic moment 0.29 μB/atom. Number 11: total magnetic moment 0.13 μB/atom.